# AcSm3Os (PBE-GGA, relaxed)
data_AcSm3Os
_chemical_formula_sum 'Ac1 Sm3 Os1'
_cell_length_a 5.609
_cell_length_b 5.609
_cell_length_c 5.609
_cell_angle_alpha 90.00
_cell_angle_beta 90.00
_cell_angle_gamma 90.00
_symmetry_space_group_name_H-M 'P m -3 m'
_symmetry_Int_Tables_number 221
_symmetry_space_group_name_Hall '-P 4 2 3'
loop_
_atom_site_label
_atom_site_type_symbol
_atom_site_fract_x
_atom_site_fract_y
_atom_site_fract_z
Ac1 Ac 0.000 0.000 0.000
Sm1 Sm 0.000 0.500 0.500
Os1 Os 0.500 0.500 0.500
# ΔH_f (0 K) = 0.0402 eV per atom
# energy above the lowest structure with this stoichiometry = 58 meV per atom

---

# KTcSe2 (PBE-GGA, relaxed)
data_KTcSe2
_chemical_formula_sum 'K1 Tc1 Se2'
_cell_length_a 4.784
_cell_length_b 4.508
_cell_length_c 5.961
_cell_angle_alpha 90.00
_cell_angle_beta 90.19
_cell_angle_gamma 90.00
_symmetry_space_group_name_H-M 'P 1 m 1'
_symmetry_Int_Tables_number 6
loop_
_symmetry_equiv_pos_as_xyz
'x,y,z'
'x,-y,z'
loop_
_atom_site_label
_atom_site_type_symbol
_atom_site_fract_x
_atom_site_fract_y
_atom_site_fract_z
K1 K 0.000 0.000 0.000
Tc1 Tc 0.498 0.500 0.629
Se1 Se 0.497 0.000 0.497
Se2 Se 0.500 0.500 0.017
# E_form (uncorrected) = -103 meV per atom
# energy above the lowest structure with this stoichiometry = 389 meV per atom

---

# PaCdCoRu (PBE-GGA, relaxed)
data_PaCdCoRu
_chemical_formula_sum 'Pa4 Cd4 Co4 Ru4'
_cell_length_a 6.566
_cell_length_b 6.566
_cell_length_c 6.566
_cell_angle_alpha 90.00
_cell_angle_beta 90.00
_cell_angle_gamma 90.00
_symmetry_space_group_name_H-M 'F -4 3 m'
_symmetry_Int_Tables_number 216
_symmetry_space_group_name_Hall 'F -4 2 3'
loop_
_atom_site_label
_atom_site_type_symbol
_atom_site_fract_x
_atom_site_fract_y
_atom_site_fract_z
Pa1 Pa 0.000 0.000 0.000
Cd1 Cd 0.000 0.000 0.500
Co1 Co 0.250 0.250 0.750
Ru1 Ru 0.250 0.250 0.250
# ΔH_f (0 K) = -0.1081 eV per atom

---

# BNClF2 (PBE-GGA, relaxed)
data_BNClF2
_chemical_formula_sum 'B1 N1 Cl1 F2'
_cell_length_a 3.722
_cell_length_b 3.722
_cell_length_c 4.548
_cell_angle_alpha 90.00
_cell_angle_beta 90.00
_cell_angle_gamma 90.00
_symmetry_space_group_name_H-M 'P 4/m m m'
_symmetry_Int_Tables_number 123
_symmetry_space_group_name_Hall '-P 4 2'
loop_
_atom_site_label
_atom_site_type_symbol
_atom_site_fract_x
_atom_site_fract_y
_atom_site_fract_z
B1 B 0.000 0.000 0.000
N1 N 0.500 0.500 0.500
Cl1 Cl 0.500 0.500 0.000
F1 F 0.000 0.500 0.500
# E_form (uncorrected) = 1199 meV per atom
# energy above the lowest structure with this stoichiometry = 1108 meV per atom

---

Table of total magnetic moment (μB per cell), in record order: 0.00 1.93 0.00 0.00